# NdGdFe, optimized geometry, DFT PBE
data_NdGdFe
_space_group_name_H-M_alt 'I 4 m m'
_space_group_IT_number 107
_space_group_name_Hall 'I 4 -2'
_cell_length_a 3.451
_cell_length_b 3.451
_cell_length_c 13.105
_cell_angle_alpha 90.00
_cell_angle_beta 90.00
_cell_angle_gamma 90.00
loop_
_atom_site_label
_atom_site_type_symbol
_atom_site_fract_x
_atom_site_fract_y
_atom_site_fract_z
Nd1 Nd 0.000 0.000 0.000
Gd1 Gd 0.000 0.000 0.747
Fe1 Fe 0.000 0.000 0.369
# Energy, eV/cell: -53.9
# E_form, eV/atom: 0.1190

---

# Ta2TcIr, optimized geometry, DFT PBE
data_Ta2TcIr
_space_group_name_H-M_alt 'F -4 3 m'
_space_group_IT_number 216
_space_group_name_Hall 'F -4 2 3'
_cell_length_a 6.385
_cell_length_b 6.385
_cell_length_c 6.385
_cell_angle_alpha 90.00
_cell_angle_beta 90.00
_cell_angle_gamma 90.00
loop_
_atom_site_label
_atom_site_type_symbol
_atom_site_fract_x
_atom_site_fract_y
_atom_site_fract_z
Ta1 Ta 0.000 0.000 0.000
Ta2 Ta 0.250 0.250 0.250
Tc1 Tc 0.250 0.250 0.750
Ir1 Ir 0.000 0.000 0.500
# Energy, eV/cell: -173.5
# E_form, eV/atom: -0.1080

---

# ErCd4B3Pt12, optimized geometry, DFT PBE
data_ErCd4B3Pt12
_space_group_name_H-M_alt 'I m -3 m'
_space_group_IT_number 229
_space_group_name_Hall '-I 4 2 3'
_cell_length_a 8.886
_cell_length_b 8.886
_cell_length_c 8.886
_cell_angle_alpha 90.00
_cell_angle_beta 90.00
_cell_angle_gamma 90.00
loop_
_atom_site_label
_atom_site_type_symbol
_atom_site_fract_x
_atom_site_fract_y
_atom_site_fract_z
Er1 Er 0.000 0.000 0.000
Cd1 Cd 0.250 0.250 0.250
B1 B 0.000 0.000 0.500
Pt1 Pt 0.000 0.000 0.282
Pt2 Pt 0.000 0.250 0.500
# Energy, eV/cell: -200.3
# E_form, eV/atom: 0.0308

---

# RbLiHoI5, optimized geometry, DFT PBE
data_RbLiHoI5
_space_group_name_H-M_alt 'C 1 2/c 1'
_space_group_IT_number 15
_space_group_name_Hall '-C 2yc'
_cell_length_a 10.140
_cell_length_b 13.766
_cell_length_c 11.448
_cell_angle_alpha 90.00
_cell_angle_beta 113.08
_cell_angle_gamma 90.00
loop_
_atom_site_label
_atom_site_type_symbol
_atom_site_fract_x
_atom_site_fract_y
_atom_site_fract_z
Rb1 Rb 0.000 0.150 0.250
Li1 Li 0.000 0.192 0.750
Ho1 Ho 0.000 0.500 0.000
I1 I 0.000 0.423 0.250
I2 I 0.110 0.301 0.605
I3 I 0.195 0.067 0.932
# Energy, eV/cell: -104.3
# Energy relative to the elements, uncorrected, eV/atom: -1.358